# RbLuCoO3

Crystalline RbLuCoO3 at its relaxed geometry (PBE+U, OQMD via LeMat-Bulk). Values from VASP.

Calculated values
V   190.36 Å³ per cell
Total moment   3.00 μB per formula unit
Calculated total energy   -6.3873 eV/atom
Symmetry   No. 63

Structure (Quantum ESPRESSO input):
```
&SYSTEM
  ibrav = 0, nat = 12, ntyp = 4
/
ATOMIC_SPECIES
O 16.00 O.upf
Lu 174.97 Lu.upf
Co 58.93 Co.upf
Rb 85.47 Rb.upf
CELL_PARAMETERS angstrom
-4.323 -4.827 0.417
-3.067 -4.461 3.585
-6.381 5.875 1.852
ATOMIC_POSITIONS crystal
O 0.391 0.391 0.048
O 0.609 0.609 0.548
O 0.391 0.391 0.452
O 0.969 0.969 0.750
O 0.609 0.609 0.952
O 0.031 0.031 0.250
Lu 0.000 0.000 0.500
Lu 0.000 0.000 0.000
Co 0.557 0.557 0.750
Co 0.443 0.443 0.250
Rb 0.280 0.280 0.750
Rb 0.720 0.720 0.250
```